PBE-GGA ZrRe2Os, optimized geometry; magnetization = 0.000 μB/atom; DOS at the Fermi energy = 3.92 states/eV per cell; energy of formation = 0.089 eV/atom; DFT total energy = -11.080 eV per atom
1.0
-2.5984 -0.4942 0.9119
1.0366 -1.2977 2.2514
0.0760 7.2899 4.1669
Re Os Zr
2 1 1
Direct
0.0000 0.0000 0.9709
0.0000 0.0000 0.5291
0.5000 0.5000 0.7500
0.5000 0.5000 0.2500


PBE-GGA Zr2ReOs, optimized geometry; magnetization = 0.000 μB/atom; DOS at the Fermi energy = 2.26 states/eV per cell; energy of formation = 0.084 eV/atom; DFT total energy = -10.110 eV per atom
1.0
-1.6862 -2.5389 -3.4843
1.3914 -3.0694 -3.1738
-1.0723 -4.7306 2.5458
Os Re Zr
1 1 2
Direct
0.2500 0.2500 0.2500
0.7500 0.7500 0.7500
0.5006 0.5006 0.4996
0.9994 0.9994 0.0004


PBE-GGA ZrRe3Os, optimized geometry; magnetization = 0.000 μB/atom; DOS at the Fermi energy = 6.72 states/eV per cell; energy of formation = 3.014 eV/atom; DFT total energy = -8.410 eV per atom
1.0
-4.3175 0.2263 -1.7427
1.7083 -0.5433 -4.3029
-0.4120 -4.6241 0.4203
Re Zr Os
3 1 1
Direct
0.5000 0.0000 0.0000
0.0000 0.5000 0.0000
0.0000 0.0000 0.5000
0.0000 0.0000 0.0000
0.5000 0.5000 0.5000


PBE-GGA ZrReOs4, optimized geometry; magnetization = 0.000 μB/atom; DOS at the Fermi energy = 5.24 states/eV per cell; energy of formation = 0.187 eV/atom; DFT total energy = -10.798 eV per atom
1.0
0.0000 3.6456 3.6456
3.6456 0.0000 3.6456
3.6456 3.6456 0.0000
Os Zr Re
4 1 1
Direct
0.8731 0.3756 0.3756
0.3756 0.3756 0.8731
0.3756 0.8731 0.3756
0.3756 0.3756 0.3756
0.0000 0.0000 0.0000
0.7500 0.7500 0.7500


PBE-GGA ZrReOs2, optimized geometry; magnetization = 0.240 μB/atom; DOS at the Fermi energy = 6.06 states/eV per cell; energy of formation = 0.275 eV/atom; DFT total energy = -10.589 eV per atom
1.0
4.5088 0.0000 0.0000
2.2544 3.9047 0.0000
2.2544 1.3016 3.6814
Os Zr Re
2 1 1
Direct
0.2500 0.2500 0.2500
0.0000 0.0000 0.0000
0.7500 0.7500 0.7500
0.5000 0.5000 0.5000


PBE-GGA Zr2ReOs, optimized geometry; magnetization = 0.000 μB/atom; DOS at the Fermi energy = 4.21 states/eV per cell; energy of formation = 0.067 eV/atom; DFT total energy = -10.127 eV per atom
1.0
3.2392 0.0000 0.0000
0.0000 3.2392 0.0000
0.0000 0.0000 6.9066
Re Zr Os
1 2 1
Direct
0.5000 0.5000 0.7304
0.0000 0.0000 0.9821
0.5000 0.5000 0.2684
0.0000 0.0000 0.5191


PBE-GGA ZrReOs2, optimized geometry; magnetization = 0.000 μB/atom; DOS at the Fermi energy = 3.48 states/eV per cell; energy of formation = 0.183 eV/atom; DFT total energy = -10.681 eV per atom
1.0
5.2892 -0.0066 0.0033
2.4059 4.7103 -0.0033
-3.3638 -3.1432 2.6039
Re Os Zr
1 2 1
Direct
0.4983 0.4983 0.0000
0.2591 0.7591 0.5000
0.9963 0.9963 0.0000
0.7462 0.2462 0.5000


PBE-GGA ZrRe5Os, optimized geometry; magnetization = 0.000 μB/atom; DOS at the Fermi energy = 23.52 states/eV per cell; energy of formation = 0.027 eV/atom; DFT total energy = -11.690 eV per atom
1.0
5.1499 0.0000 0.0000
0.0000 8.4762 0.0000
0.0000 0.0000 10.7161
Zr Os Re
4 4 20
Direct
0.7500 0.2693 0.4447
0.2500 0.7307 0.5553
0.7500 0.7693 0.0553
0.2500 0.2307 0.9447
0.2500 0.3615 0.6544
0.2500 0.8615 0.8456
0.7500 0.6385 0.3456
0.7500 0.1385 0.1544
0.7500 0.8175 0.7567
0.9900 0.9272 0.3052
0.7500 0.5749 0.5748
0.7500 0.4179 0.9759
0.5100 0.4272 0.1948
0.9900 0.4272 0.1948
0.7500 0.3175 0.7433
0.2500 0.9251 0.0748
0.2500 0.6825 0.2567
0.0100 0.0728 0.6948
0.0100 0.5728 0.8052
0.2500 0.1825 0.2433
0.2500 0.5821 0.0241
0.7500 0.0749 0.9252
0.2500 0.4251 0.4252
0.4900 0.5728 0.8052
0.4900 0.0728 0.6948
0.2500 0.0821 0.4759
0.5100 0.9272 0.3052
0.7500 0.9179 0.5241


PBE-GGA ZrRe2Os, optimized geometry; magnetization = 0.000 μB/atom; DOS at the Fermi energy = 8.40 states/eV per cell; energy of formation = 0.618 eV/atom; DFT total energy = -10.551 eV per atom
1.0
7.4481 0.0000 0.0000
0.0000 7.4481 0.0000
3.7241 3.7241 2.6157
Re Os Zr
4 2 2
Direct
0.3750 0.3394 0.7500
0.6606 0.1250 0.2500
0.8750 0.9106 0.7500
0.0894 0.6250 0.2500
0.7500 0.2500 0.5000
0.0000 0.0000 0.0000
0.2500 0.7500 0.5000
0.5000 0.5000 0.0000


PBE-GGA ZrReOs2, optimized geometry; magnetization = 0.000 μB/atom; DOS at the Fermi energy = 3.75 states/eV per cell; energy of formation = 0.099 eV/atom; DFT total energy = -10.765 eV per atom
1.0
-0.9488 -2.2263 1.4864
2.6551 -2.3074 -1.7611
3.8816 1.2017 4.2776
Re Zr Os
1 1 2
Direct
0.0000 0.0000 0.4611
0.5000 0.5000 0.7572
0.0000 0.0000 0.0258
0.5000 0.5000 0.2558


PBE-GGA ZrReOs2, optimized geometry; magnetization = 0.000 μB/atom; DOS at the Fermi energy = 9.47 states/eV per cell; energy of formation = 1.305 eV/atom; DFT total energy = -9.559 eV per atom
1.0
-2.5963 2.3543 -4.8206
-4.9064 1.1241 3.1915
-1.7313 6.7280 0.5339
Os Re Zr
4 2 2
Direct
0.8750 0.9114 0.7500
0.3750 0.3386 0.7500
0.6614 0.1250 0.2500
0.0886 0.6250 0.2500
0.7500 0.2500 0.5000
0.0000 0.0000 0.0000
0.2500 0.7500 0.5000
0.5000 0.5000 0.0000


PBE-GGA ZrRe2Os2, optimized geometry; magnetization = 0.000 μB/atom; DOS at the Fermi energy = 5.14 states/eV per cell; energy of formation = -0.041 eV/atom; DFT total energy = -11.222 eV per atom
1.0
7.6719 0.0000 0.0000
0.0000 7.6719 0.0000
0.0000 0.0000 2.7807
Re Zr Os
4 2 4
Direct
0.8291 0.3291 0.5000
0.3291 0.1709 0.5000
0.1709 0.6709 0.5000
0.6709 0.8291 0.5000
0.5000 0.5000 0.0000
0.0000 0.0000 0.0000
0.1241 0.3759 0.0000
0.8759 0.6241 0.0000
0.3759 0.8759 0.0000
0.6241 0.1241 0.0000


PBE-GGA ZrRe2Os2, optimized geometry; magnetization = 0.000 μB/atom; DOS at the Fermi energy = 3.62 states/eV per cell; energy of formation = 0.167 eV/atom; DFT total energy = -11.014 eV per atom
1.0
4.0877 0.0000 0.0000
0.0000 4.0877 0.0000
2.0438 2.0438 5.4021
Os Re Zr
2 2 1
Direct
0.2500 0.7500 0.5000
0.7500 0.2500 0.5000
0.3888 0.3888 0.2224
0.6112 0.6112 0.7776
0.0000 0.0000 0.0000


PBE-GGA Zr2ReOs, optimized geometry; magnetization = 0.000 μB/atom; DOS at the Fermi energy = 2.36 states/eV per cell; energy of formation = -0.082 eV/atom; DFT total energy = -10.276 eV per atom
1.0
4.6010 0.0000 0.0000
0.0000 2.9480 -0.0030
0.0000 1.0883 5.2434
Zr Re Os
2 1 1
Direct
0.5000 0.2600 0.2599
0.0000 0.9882 0.9899
0.5000 0.7466 0.7523
0.0000 0.5052 0.4979